Here is crystalline LaMgAu2O at its relaxed geometry from OQMD via LeMat-Bulk. Energies are from PBE-GGA.

The symmetry is I-4m2, No. 119. As for the spin magnetization: 0.05 Bohr magnetons per cell. The electronic total energy is -4.54 eV/atom.

a = 3.1275 Å, b = 3.1275 Å, c = 18.7466 Å
α = 90.00°, β = 90.00°, γ = 90.00°
Fractional coordinates of all 10 atoms:
La 0.0000 0.0000 0.0000
La 0.5000 0.5000 0.5000
Mg 0.0000 0.5000 0.2500
Mg 0.5000 0.0000 0.7500
Au 0.0000 0.0000 0.3818
Au 0.0000 0.0000 0.6182
Au 0.5000 0.5000 0.1182
Au 0.5000 0.5000 0.8818
O 0.0000 0.5000 0.7500
O 0.5000 0.0000 0.2500